This record from Alexandria via LeMat-Bulk describes a relaxed structure of ZnNiSeO2. The functional is GGA+U.

Cell: 3.6666 6.2721 3.6666 Å, 90.00 90.00 90.00°
With the nearest neighbours (Å) after each atom.
Fractional positions:
Ni 0.0000 0.5000 0.0000  4 Se 2.59
Zn 0.0000 0.0000 0.0000  4 O 1.83
O 0.0000 0.0000 0.5000  2 Zn 1.83
O 0.5000 0.0000 0.0000  2 Zn 1.83
Se 0.5000 0.5000 0.5000  4 Ni 2.59

**Volume**: 84 Å³/f.u.
**Total moment**: 2.643 μB per cell
**Uncorrected energy**: -3.2145 eV per atom
**Symmetry**: P4/mmm, No. 123